1.
The following is a DFT calculation (PBE-GGA) of an optimized crystal structure of Li2NdY.

a = 3.7613 Å, b = 3.7613 Å, c = 7.5914 Å
α = 90.00°, β = 90.00°, γ = 90.00°
Space group P4/mmm (No. 123)
Asymmetric unit:
Li1 0.0000 0.0000 0.2454 [2 per cell]
Nd1 0.5000 0.5000 0.5000 [1 per cell]
Y1 0.5000 0.5000 0.0000 [1 per cell]

Results
* ΔE to the lowest computed polymorph: 0 meV/atom
* crystal system: tetragonal
* density of states at the Fermi level: 1.217 states/eV per atom
* E_form: 136 meV per atom
* VASP energy: -3.628 eV/atom



2.
The following is a DFT calculation (PBE-GGA) of an optimized crystal structure of LiNdZn.

a = 4.8292 Å, b = 4.8292 Å, c = 3.3148 Å
α = 90.00°, β = 90.00°, γ = 120.00°
Space group P-6m2 (No. 187)
Asymmetric unit:
Li1 0.0000 0.0000 0.0000 [1 per cell]
Nd1 0.3333 0.6667 0.5000 [1 per cell]
Zn1 0.6667 0.3333 0.0000 [1 per cell]

Results
* ΔE to the lowest computed polymorph: 0 meV/atom
* crystal system: hexagonal
* density of states at the Fermi level: 0.681 states/eV per atom
* E_form: -143 meV per atom
* VASP energy: -2.795 eV/atom



3.
The following is a DFT calculation (PBE-GGA) of an optimized crystal structure of Li2Nd3Zn9.

a = 4.5416 Å, b = 8.7788 Å, c = 13.5667 Å
α = 90.00°, β = 90.00°, γ = 90.00°
Space group Immm (No. 71)
Asymmetric unit:
Li1 0.0000 0.1856 0.0000 [4 per cell]
Nd1 0.0000 0.0000 0.2084 [4 per cell]
Nd2 0.0000 0.0000 0.5000 [2 per cell]
Zn1 0.0000 0.2862 0.3651 [8 per cell]
Zn2 0.0000 0.3557 0.1598 [8 per cell]
Zn3 0.0000 0.5000 0.5000 [2 per cell]

Results
* crystal system: orthorhombic
* density of states at the Fermi level: 0.661 states/eV per atom
* E_form: -302 meV per atom
* VASP energy: -2.416 eV/atom



4.
The following is a DFT calculation (PBE-GGA) of an optimized crystal structure of LiNd2Zn5.

a = 4.4178 Å, b = 16.5360 Å, c = 9.0264 Å
α = 90.00°, β = 90.00°, γ = 90.00°
Space group Cmcm (No. 63)
Asymmetric unit:
Li1 0.0000 0.0549 0.2500 [4 per cell]
Nd1 0.0000 0.2976 0.7500 [4 per cell]
Nd2 0.0000 0.5000 0.0000 [4 per cell]
Zn1 0.0000 0.0991 0.7500 [4 per cell]
Zn2 0.0000 0.1491 0.0214 [8 per cell]
Zn3 0.0000 0.3142 0.1062 [8 per cell]

Results
* crystal system: orthorhombic
* density of states at the Fermi level: 0.881 states/eV per atom
* E_form: -233 meV per atom
* VASP energy: -2.460 eV/atom



5.
The following is a DFT calculation (PBE-GGA) of an optimized crystal structure of Li2NdZn.

a = 3.2276 Å, b = 3.2276 Å, c = 31.3838 Å
α = 90.00°, β = 90.00°, γ = 120.00°
Space group R-3m (No. 166, hexagonal axes)
Asymmetric unit:
Li1 0.0000 0.0000 0.1007 [6 per cell]
Nd1 0.0000 0.0000 0.0000 [3 per cell]
Zn1 0.0000 0.0000 0.5000 [3 per cell]

Results
* ΔE to the lowest computed polymorph: 179 meV/atom
* crystal system: trigonal
* density of states at the Fermi level: 0.763 states/eV per atom
* E_form: 169 meV per atom
* VASP energy: -2.298 eV/atom



6.
The following is a DFT calculation (PBE-GGA) of an optimized crystal structure of Li2NdZn.

a = 6.8809 Å, b = 6.8809 Å, c = 6.8809 Å
α = 90.00°, β = 90.00°, γ = 90.00°
Space group Fm-3m (No. 225)
Asymmetric unit:
Li1 0.2500 0.2500 0.2500 [8 per cell]
Nd1 0.0000 0.0000 0.0000 [4 per cell]
Zn1 0.0000 0.0000 0.5000 [4 per cell]

Results
* ΔE to the lowest computed polymorph: 0 meV/atom
* crystal system: cubic
* density of states at the Fermi level: 1.131 states/eV per atom
* E_form: -9 meV per atom
* VASP energy: -2.477 eV/atom